Compound: BaNbP2
Source: the Alexandria database
Functional: PBE
Structure: optimized geometry

Results
ΔH_f (0 K) = -9 meV/atom
Density of states at the Fermi level = 0.86 states/eV/atom
Magnetization = 0.385 μB/atom
Symmetry = Fm-3m
Relative energy among the computed polymorphs = 566 meV per atom
Calculated total energy = -22.8 eV for the cell shown

Lattice parameters (Å, degrees): 4.960 4.960 4.960 60.00 60.00 60.00
Sites, in units of the cell vectors:
P 0.250 0.250 0.250
P 0.750 0.750 0.750
Ba 0.500 0.500 0.500
Nb 0.000 0.000 0.000